1.
# Ta2RuAu

A relaxed Ta2RuAu crystal (PBE-GGA, the Alexandria database).

Lattice parameters (Å, degrees): 9.3885 3.0260 4.8876 90.00 101.80 90.00
Space group Cm (No. 8)
Asymmetric unit:
Ta  0.0000  0.0000  0.0000 x2
Ta  0.2416  0.0000  0.6990 x2
Ru  0.9999  0.5000  0.4967 x2
Au  0.2513  0.5000  0.2142 x2

Values from the calculation:
The calculation puts the size of the total moment at 0.0 Bohr magnetons per cell. The value obtained for the density of states at the Fermi level is 0.794 states/eV/atom. Its crystal system is monoclinic. As for the distance to the lowest polymorph of the same formula: 96 meV/atom. The calculation puts the total energy at -73.06 eV/cell.

***

2.
# Er4Tm3Th

A relaxed Er4Tm3Th crystal (PBE-GGA, the Alexandria database).

Lattice parameters (Å, degrees): 11.1951 7.1634 6.1810 90.00 90.00 90.00
Space group Pmn2_1 (No. 31)
Asymmetric unit:
Er  0.0000  0.1257  0.0000 x2
Er  0.0000  0.8720  0.5023 x2
Er  0.2495  0.1266  0.3416 x4
Tm  0.0000  0.3774  0.5005 x2
Tm  0.2493  0.3772  0.8329 x4
Th  0.0000  0.6252  0.0024 x2

Values from the calculation:
The calculation puts the size of the total moment at 0.0 Bohr magnetons per cell. The value obtained for the density of states at the Fermi level is 1.592 states/eV/atom. Its crystal system is orthorhombic. As for the distance to the lowest polymorph of the same formula: 0 meV/atom. The calculation puts the total energy at -77.99 eV/cell.

***

Ordered E_form results: -67, 11; unit meV/atom.